Compound: Pm2ZnSb
Source: the Alexandria database
Functional: PBE-GGA
Structure: relaxed

For the energy above the most stable polymorph in this dataset, the calculation gives 0.067 eV/atom. The calculation puts the energy relative to the elements, uncorrected at -0.573 eV per atom. The calculation puts the density of states at the Fermi level at 3.669 states/eV per cell.

a = 4.8444 Å, b = 4.8444 Å, c = 6.2946 Å
α = 67.37°, β = 67.37°, γ = 60.00°
Last column: nearest neighbours and their distance in Å.
Element x y z (fractional)
Sb1 0.0000 0.0000 0.0000  6 Pm 3.16
Zn1 0.5000 0.5000 0.5000  6 Pm 3.11
Pm1 0.7530 0.7530 0.7409  3 Zn 3.11, 3 Sb 3.16
Pm2 0.2470 0.2470 0.2591  3 Zn 3.11, 3 Sb 3.16


Compound: InRePb2
Source: the Alexandria database
Functional: PBE-GGA
Structure: relaxed

For the energy above the most stable polymorph in this dataset, the calculation gives 0.116 eV/atom. The calculation puts the formation energy at 0.631 eV per atom. The calculation puts the density of states at the Fermi level at 2.606 states/eV per cell.

a = 3.3520 Å, b = 3.3520 Å, c = 8.8419 Å
α = 90.00°, β = 90.00°, γ = 90.00°
Last column: nearest neighbours and their distance in Å.
Element x y z (fractional)
Pb1 0.0000 0.0000 0.0538  4 Re 2.94
In1 0.5000 0.5000 0.7500  4 In 3.35, 8 Pb 3.58
Re1 0.5000 0.5000 0.2500  8 Pb 2.94
Pb2 0.0000 0.0000 0.4462  4 Re 2.94


Compound: Mn4AlRe
Source: the Alexandria database
Functional: PBE-GGA
Structure: relaxed

The calculation puts the formation energy at -0.066 eV per atom. The calculation puts the density of states at the Fermi level at 7.701 states/eV per cell.

a = 4.6725 Å, b = 4.6725 Å, c = 4.6725 Å
α = 60.00°, β = 60.00°, γ = 60.00°
Last column: nearest neighbours and their distance in Å.
Element x y z (fractional)
Re1 0.7500 0.7500 0.7500  12 Mn 2.74, 4 Al 2.86
Al1 0.0000 0.0000 0.0000  12 Mn 2.74, 4 Re 2.86
Mn1 0.3733 0.8800 0.3733  6 Mn 2.30-2.37
Mn2 0.8800 0.3733 0.3733  6 Mn 2.30-2.37
Mn3 0.3733 0.3733 0.3733  6 Mn 2.30-2.37
Mn4 0.3733 0.3733 0.8800  6 Mn 2.30-2.37


Let's list electronic total energy in order: -17.19; -20.08; -53.27 eV/f.u..